The following is a DFT calculation (GGA-PBE) of crystalline KNaBi2Se at its relaxed geometry.

## Properties
D(E_F): 4.2 states/eV per cell
Formation energy (no corrections): 0.830 eV per atom

a b c (Å): 6.143 6.143 5.226
angles (deg): 90.00 90.00 90.00
Space group P4/mmm (No. 123)
Symmetry-distinct sites (fractional):
K 0.000 0.000 0.000 x1
Na 0.000 0.000 0.500 x1
Bi 0.000 0.500 0.000 x2
Se 0.500 0.500 0.500 x1